A relaxed structure of GdHoB2Pt2N2, computed with PBE.

abc: 3.742 3.742 7.583
angles: 90.00 90.00 90.00
Atoms (fractional coordinates):
B: 0.000 0.000 0.330
B: 0.500 0.500 0.672
Gd: 0.000 0.000 0.837
Ho: 0.500 0.500 0.162
N: 0.000 0.000 0.140
N: 0.500 0.500 0.862
Pt: 0.500 0.000 0.499
Pt: 0.000 0.500 0.499

Values from the calculation:
Raw total energy (eV per atom): -7.566